DFT (GGA-PBE) results for crystalline Te2PIN at its relaxed geometry.

abc: 4.8899 4.8899 4.6996
angles: 90.00 90.00 90.00
Closest atoms and distances in Å follow each position.
Sites, in units of the cell vectors:
Te (0.0000, 0.5000, 0.0000)  2 N 2.44
I (0.0000, 0.0000, 0.5000)  2 N 2.35
Te (0.5000, 0.0000, 0.0000)  2 N 2.44
N (0.0000, 0.0000, 0.0000)  2 I 2.35, 4 Te 2.44
P (0.5000, 0.5000, 0.5000)  8 Te 3.39, 4 I 3.46

Properties
E_form (uncorrected), eV per atom: 1.16

DFT (GGA-PBE) results for crystalline TePIN2 at its relaxed geometry.

abc: 3.9748 3.9748 8.3601
angles: 90.00 90.00 90.00
Closest atoms and distances in Å follow each position.
Sites, in units of the cell vectors:
N (0.5000, 0.0000, 0.0000)  2 Te 1.99
Te (0.0000, 0.0000, 0.0000)  4 N 1.99
P (0.5000, 0.5000, 0.5000)  4 I 2.81
I (0.0000, 0.0000, 0.5000)  4 P 2.81
N (0.0000, 0.5000, 0.0000)  2 Te 1.99

Properties
E_form (uncorrected), eV per atom: 1.62

DFT (GGA-PBE) results for crystalline TePIN2 at its relaxed geometry.

abc: 3.9118 3.9118 7.0406
angles: 90.00 90.00 90.00
Closest atoms and distances in Å follow each position.
Sites, in units of the cell vectors:
N (0.5000, 0.0000, 0.0000)  2 P 1.96
I (0.0000, 0.0000, 0.5000)  4 Te 2.77
P (0.0000, 0.0000, 0.0000)  4 N 1.96
Te (0.5000, 0.5000, 0.5000)  4 I 2.77
N (0.0000, 0.5000, 0.0000)  2 P 1.96

Properties
E_form (uncorrected), eV per atom: 1.58

DFT (GGA-PBE) results for crystalline Te2PIN at its relaxed geometry.

abc: 6.1657 6.1657 3.2502
angles: 90.00 90.00 90.00
Closest atoms and distances in Å follow each position.
Sites, in units of the cell vectors:
Te (0.0000, 0.5000, 0.0000)  2 P 3.08, 2 Te 3.25
Te (0.5000, 0.0000, 0.0000)  2 P 3.08, 2 Te 3.25
P (0.0000, 0.0000, 0.0000)  2 N 1.63
N (0.0000, 0.0000, 0.5000)  2 P 1.63
I (0.5000, 0.5000, 0.5000)  2 I 3.25, 8 Te 3.48

Properties
E_form (uncorrected), eV per atom: 0.64

DFT (GGA-PBE) results for crystalline TiPI2N at its relaxed geometry.

abc: 5.6842 5.6842 3.4050
angles: 90.00 90.00 90.00
Closest atoms and distances in Å follow each position.
Sites, in units of the cell vectors:
I (0.5000, 0.0000, 0.0000)  2 P 2.84
P (0.0000, 0.0000, 0.0000)  2 N 1.70
I (0.0000, 0.5000, 0.0000)  2 P 2.84
Ti (0.5000, 0.5000, 0.5000)  8 I 3.31, 2 Ti 3.41
N (0.0000, 0.0000, 0.5000)  2 P 1.70

Properties
E_form (uncorrected), eV per atom: 0.70

DFT (GGA-PBE) results for crystalline TiPI2N at its relaxed geometry.

abc: 5.6440 5.6440 3.7219
angles: 90.00 90.00 90.00
Closest atoms and distances in Å follow each position.
Sites, in units of the cell vectors:
I (0.5000, 0.0000, 0.0000)  2 Ti 2.82
I (0.0000, 0.5000, 0.0000)  2 Ti 2.82
P (0.5000, 0.5000, 0.5000)  8 I 3.38, 2 P 3.72
N (0.0000, 0.0000, 0.5000)  2 Ti 1.86
Ti (0.0000, 0.0000, 0.0000)  2 N 1.86

Properties
E_form (uncorrected), eV per atom: 0.39